(1)
Sm2Al6Pt9 after structural relaxation, computed with PBE.

```
17
Lattice="5.6005 0.0000 0.0000 -2.8002 4.8501 0.0000 0.0000 0.0000 11.8284" Properties=species:S:1:pos:R:3 pbc="T T T"
Sm 0.0000 0.0000 2.3126
Sm 0.0000 0.0000 9.5159
Al 0.0000 3.2334 1.9411
Al 0.0000 3.2334 5.9142
Al 0.0000 3.2334 9.8874
Al 2.8002 1.6167 1.9411
Al 2.8002 1.6167 5.9142
Al 2.8002 1.6167 9.8874
Pt -1.4001 2.4251 0.0000
Pt -1.4001 2.4251 3.9096
Pt -1.4001 2.4251 7.9188
Pt 2.8002 0.0000 0.0000
Pt 2.8002 0.0000 3.9096
Pt 2.8002 0.0000 7.9188
Pt 1.4001 2.4251 0.0000
Pt 1.4001 2.4251 3.9096
Pt 1.4001 2.4251 7.9188
```

## Properties
energy of formation	-967	meV/atom
Fermi-level density of states	0.42	states/eV per atom
total magnetic moment	0.00	μB per formula unit
SG	No. 191



(2)
La2MgP3Ir12 after structural relaxation, computed with PBE.

```
18
Lattice="4.5347 2.6181 4.3130 -4.5347 2.6181 4.3130 0.0000 -5.2362 4.3130" Properties=species:S:1:pos:R:3 pbc="T T T"
La 0.0000 0.0000 1.6575
La 0.0000 0.0000 11.2814
Mg 0.0000 0.0000 6.4695
P -2.2674 -1.3091 4.3130
P -2.2674 1.3091 8.6260
P 0.0000 2.6181 4.3130
Ir 0.0000 -2.4805 3.7110
Ir -2.1482 1.2403 3.7110
Ir -2.2509 -1.2996 6.5594
Ir 0.0000 -2.5991 6.3796
Ir -2.2509 1.2996 6.3796
Ir -2.1482 -1.2403 9.2280
Ir 2.1482 1.2403 3.7110
Ir 2.2509 -1.2996 6.5594
Ir 0.0000 2.5992 6.5594
Ir 2.2509 1.2996 6.3795
Ir 2.1482 -1.2403 9.2280
Ir 0.0000 2.4805 9.2280
```

## Properties
energy of formation	-26	meV/atom
Fermi-level density of states	0.56	states/eV per atom
total magnetic moment	0.00	μB per formula unit
SG	No. 166



(3)
ZrBC after structural relaxation, computed with PBE.

```
6
Lattice="2.9664 0.0000 0.0000 -1.4832 2.5689 0.0000 0.0000 0.0000 7.6712" Properties=species:S:1:pos:R:3 pbc="T T T"
Zr 0.0000 0.0000 0.0000
Zr 0.0000 0.0000 3.8356
B 0.0000 1.7126 1.9178
B 1.4832 0.8563 5.7534
C 0.0000 1.7126 5.7534
C 1.4832 0.8563 1.9178
```

## Properties
energy of formation	-305	meV/atom
relative energy among the computed polymorphs	277	meV/atom
Fermi-level density of states	0.44	states/eV per atom
total magnetic moment	0.00	μB per formula unit
SG	No. 194



(4)
SmDy2ErP4 after structural relaxation, computed with PBE.

```
8
Lattice="6.9669 0.0000 0.0000 0.0000 4.0250 0.0000 -2.3220 0.0000 6.5690" Properties=species:S:1:pos:R:3 pbc="T T T"
Sm 0.0000 0.0000 0.0000
Dy -1.1610 2.0125 3.2845
Dy 2.3224 0.0000 3.2845
Er 3.4834 2.0125 0.0000
P 0.0266 0.0000 4.9242
P 1.1873 2.0125 1.6643
P 3.4576 2.0125 4.9047
P 4.6182 0.0000 1.6448
```

## Properties
energy of formation	-1598	meV/atom
Fermi-level density of states	0.10	states/eV per atom
total magnetic moment	0.00	μB per formula unit
SG	No. 10



(5)
CsZr3Ag after structural relaxation, computed with PBE.

```
5
Lattice="5.3724 0.0000 0.0000 0.0000 5.3724 0.0000 0.0000 0.0000 5.3724" Properties=species:S:1:pos:R:3 pbc="T T T"
Cs 0.0000 0.0000 0.0000
Zr 0.0000 2.6862 2.6862
Zr 2.6862 0.0000 2.6862
Zr 2.6862 2.6862 0.0000
Ag 2.6862 2.6862 2.6862
```

## Properties
energy of formation	1163	meV/atom
relative energy among the computed polymorphs	0	meV/atom
Fermi-level density of states	0.82	states/eV per atom
total magnetic moment	0.00	μB per formula unit
SG	No. 221



(6)
TiNb3Mo after structural relaxation, computed with PBE.

```
5
Lattice="6.7967 -2.2782 0.0000 6.7967 2.2782 0.0000 -0.4243 0.0000 2.8081" Properties=species:S:1:pos:R:3 pbc="T T T"
Ti 0.0000 0.0000 0.0000
Nb 2.4186 0.0000 2.2946
Nb 7.9450 0.0000 1.2616
Nb 10.8590 0.0000 0.7035
Mo 5.2240 0.0000 1.7384
```

## Properties
energy of formation	-51	meV/atom
relative energy among the computed polymorphs	0	meV/atom
Fermi-level density of states	1.32	states/eV per atom
total magnetic moment	0.00	μB per formula unit
SG	No. 8



(7)
ThB2 after structural relaxation, computed with PBE.

```
3
Lattice="-1.5158 1.5158 4.7045 1.5158 -1.5158 4.7045 1.5158 1.5158 -4.7045" Properties=species:S:1:pos:R:3 pbc="T T T"
Th 0.0000 0.0000 0.0000
B 0.0000 0.0000 2.6698
B 0.0000 0.0000 6.7393
```

## Properties
energy of formation	889	meV/atom
Fermi-level density of states	0.60	states/eV per atom
total magnetic moment	0.00	μB per formula unit
SG	No. 139



(8)
Pu2BiI after structural relaxation, computed with PBE.

```
4
Lattice="2.1983 1.2692 7.9773 -2.1983 1.2692 7.9773 0.0000 -2.5384 7.9773" Properties=species:S:1:pos:R:3 pbc="T T T"
Pu 0.0000 0.0000 0.0000
Pu 0.0000 0.0000 4.2005
Bi 0.0000 0.0000 14.0987
I 0.0000 0.0000 10.0237
```

## Properties
E_form (uncorrected)	-0.449	eV/atom
relative energy among the computed polymorphs	50	meV/atom
Fermi-level density of states	5.59	states/eV per atom
total magnetic moment	12.00	μB per formula unit
SG	No. 160



(9)
Th6BiOs3S2 after structural relaxation, computed with PBE.

```
12
Lattice="9.3870 -2.0791 0.0000 9.3870 2.0791 0.0000 -2.5621 0.0000 8.3644" Properties=species:S:1:pos:R:3 pbc="T T T"
Th -0.4753 0.0000 1.8277
Th 4.9038 0.0000 3.5926
Th 4.0216 0.0000 7.5355
Th 12.1904 0.0000 0.8290
Th 11.3081 0.0000 4.7718
Th 16.6872 0.0000 6.5367
Bi 8.1060 0.0000 4.1822
Os 2.2900 0.0000 2.7468
Os 9.3870 0.0000 0.0000
Os 13.9219 0.0000 5.6176
S 1.0439 0.0000 7.0192
S 15.1680 0.0000 1.3452
```

## Properties
E_form (uncorrected)	-0.834	eV/atom
Fermi-level density of states	0.55	states/eV per atom
total magnetic moment	0.00	μB per formula unit
SG	No. 12



(10)
ErHfSi2 after structural relaxation, computed with PBE.

```
4
Lattice="3.7747 0.0000 0.0000 0.0000 1.9799 5.0555 0.0000 -1.9799 5.0555" Properties=species:S:1:pos:R:3 pbc="T T T"
Er 0.0000 0.0000 0.0000
Hf 1.8874 0.0000 2.8585
Si 0.0000 0.0000 7.3266
Si 1.8874 0.0000 5.7196
```

## Properties
E_form (uncorrected)	-0.766	eV/atom
relative energy among the computed polymorphs	2	meV/atom
Fermi-level density of states	0.36	states/eV per atom
total magnetic moment	0.00	μB per formula unit
SG	No. 38



(11)
AgAsOs2 after structural relaxation, computed with PBE.

```
4
Lattice="-1.4598 2.2895 4.6643 1.4598 -2.2895 4.6643 1.4598 2.2895 -4.6643" Properties=species:S:1:pos:R:3 pbc="T T T"
Ag 0.0000 0.0000 0.0000
As 0.0000 0.0000 4.6643
Os 1.4598 0.0000 2.6759
Os 0.0000 2.2895 1.9884
```

## Properties
energy of formation	570	meV/atom
Fermi-level density of states	0.60	states/eV per atom
total magnetic moment	0.00	μB per formula unit
SG	No. 71



(12)
NiWBr after structural relaxation, computed with PBE.

```
3
Lattice="0.0000 2.9864 2.9864 2.9864 0.0000 2.9864 2.9864 2.9864 0.0000" Properties=species:S:1:pos:R:3 pbc="T T T"
Ni 0.0000 0.0000 0.0000
W 4.4797 4.4797 4.4797
Br 2.9864 2.9864 2.9864
```

## Properties
E_form (uncorrected)	1.132	eV/atom
relative energy among the computed polymorphs	550	meV/atom
Fermi-level density of states	1.27	states/eV per atom
total magnetic moment	0.00	μB per formula unit
SG	No. 216



(13)
Ca3Mg2In2Hg4 after structural relaxation, computed with PBE.

```
11
Lattice="4.9381 0.0000 0.0000 -2.4691 4.2766 0.0000 0.0000 0.0000 13.9693" Properties=species:S:1:pos:R:3 pbc="T T T"
Ca 0.0000 0.0000 0.0000
Ca 0.0000 0.0000 3.7706
Ca 0.0000 0.0000 10.1987
Mg 0.0000 2.8510 7.9518
Mg 2.4691 1.4255 6.0175
In 0.0000 2.8510 2.0031
In 2.4691 1.4255 11.9662
Hg 0.0000 2.8510 5.1404
Hg 0.0000 2.8510 12.2764
Hg 2.4691 1.4255 1.6929
Hg 2.4691 1.4255 8.8289
```

## Properties
energy of formation	-365	meV/atom
Fermi-level density of states	0.34	states/eV per atom
total magnetic moment	0.00	μB per formula unit
SG	No. 164



(14)
CaMgCd4 after structural relaxation, computed with PBE.

```
6
Lattice="0.0000 4.1784 4.1784 4.1784 0.0000 4.1784 4.1784 4.1784 0.0000" Properties=species:S:1:pos:R:3 pbc="T T T"
Ca 0.0000 0.0000 0.0000
Mg 2.0892 2.0892 2.0892
Cd 5.2242 3.1326 3.1326
Cd 3.1326 5.2242 3.1326
Cd 3.1326 3.1326 5.2242
Cd 5.2242 5.2242 5.2242
```

## Properties
energy of formation	-166	meV/atom
relative energy among the computed polymorphs	47	meV/atom
Fermi-level density of states	0.40	states/eV per atom
total magnetic moment	0.00	μB per formula unit
SG	No. 216



(15)
AlSCl3O2 after structural relaxation, computed with PBE.

```
14
Lattice="6.5453 0.0000 0.0000 -2.6223 7.5052 0.0000 -2.4008 -1.2672 7.6643" Properties=species:S:1:pos:R:3 pbc="T T T"
Al -0.0794 1.0305 2.6444
Al 1.6016 5.2075 5.0199
S -1.6579 0.8228 5.4888
S 3.1801 5.4151 2.1756
Cl -0.9988 2.1211 1.0914
Cl 0.1191 0.4176 6.5205
Cl -0.3775 4.6822 4.5330
Cl 1.8997 1.5557 3.1314
Cl 1.4031 5.8203 1.1439
Cl 2.5210 4.1169 6.5729
O -2.6760 6.7640 2.2204
O -1.1777 1.1280 4.0829
O 2.6999 5.1099 3.5815
O 4.1983 -0.5261 5.4439
```

## Properties
E_form (uncorrected)	-1.369	eV/atom
Fermi-level density of states	0.00	states/eV per atom
total magnetic moment	0.05	μB per formula unit
SG	No. 2



(16)
VAsRu after structural relaxation, computed with PBE.

```
6
Lattice="3.7014 0.0000 0.0000 0.0000 3.7317 0.0000 0.0000 0.0000 6.3269" Properties=species:S:1:pos:R:3 pbc="T T T"
V 0.0000 0.0000 0.0000
V 1.8507 0.0000 2.0833
As 0.0000 1.8659 1.7862
As 1.8507 0.0000 4.5253
Ru 0.0000 1.8659 4.2541
Ru 1.8507 1.8659 0.0011
```

## Properties
energy of formation	-261	meV/atom
Fermi-level density of states	0.96	states/eV per atom
total magnetic moment	0.26	μB per formula unit
SG	No. 25



(17)
Ba2SbAu after structural relaxation, computed with PBE.

```
4
Lattice="4.2245 0.0000 0.0000 0.0000 5.8548 0.0000 -0.0012 0.0000 5.8583" Properties=species:S:1:pos:R:3 pbc="T T T"
Ba 0.0000 0.0000 0.0000
Ba 4.2235 2.9274 2.9245
Sb 2.1115 0.0000 2.9310
Au 2.1015 2.9274 5.8538
```

## Properties
E_form (uncorrected)	-0.851	eV/atom
Fermi-level density of states	0.41	states/eV per atom
total magnetic moment	0.00	μB per formula unit
SG	No. 6



(18)
YNi2Mo after structural relaxation, computed with PBE.

```
4
Lattice="0.0000 3.1928 3.1928 3.1928 0.0000 3.1928 3.1928 3.1928 0.0000" Properties=species:S:1:pos:R:3 pbc="T T T"
Y 0.0000 0.0000 0.0000
Ni 1.5964 1.5964 1.5964
Ni 4.7892 4.7892 4.7892
Mo 3.1928 3.1928 3.1928
```

## Properties
energy of formation	155	meV/atom
relative energy among the computed polymorphs	250	meV/atom
Fermi-level density of states	1.29	states/eV per atom
total magnetic moment	2.00	μB per formula unit
SG	No. 225



(19)
CuRe2Si after structural relaxation, computed with PBE.

```
4
Lattice="2.6932 -4.1944 0.0000 2.6932 4.1944 0.0000 -1.0746 0.0000 2.4668" Properties=species:S:1:pos:R:3 pbc="T T T"
Cu 0.0000 0.0000 0.0000
Re 0.8093 2.0972 1.2334
Re 0.8093 -2.0972 1.2334
Si 2.6932 0.0000 0.0000
```

## Properties
E_form (uncorrected)	0.277	eV/atom
Fermi-level density of states	0.78	states/eV per atom
total magnetic moment	0.00	μB per formula unit
SG	No. 12



(20)
LaPmPrTl after structural relaxation, computed with PBE.

```
4
Lattice="-2.4672 2.4672 5.2045 2.4672 -2.4672 5.2045 2.4672 2.4672 -5.2045" Properties=species:S:1:pos:R:3 pbc="T T T"
La 0.0000 0.0000 0.0000
Pm 0.0000 2.4672 2.6023
Pr 2.4672 0.0000 2.6023
Tl 0.0000 0.0000 5.2045
```

## Properties
energy of formation	-188	meV/atom
relative energy among the computed polymorphs	0	meV/atom
Fermi-level density of states	1.39	states/eV per atom
total magnetic moment	0.00	μB per formula unit
SG	No. 119